No. 1
# Ac2AlSi4Pt3 GGA-PBE relaxed
data_Ac2AlSi4Pt3
_chemical_formula_sum 'Ac2 Al1 Si4 Pt3'
_cell_length_a 4.334
_cell_length_b 4.334
_cell_length_c 10.348
_cell_angle_alpha 90.00
_cell_angle_beta 90.00
_cell_angle_gamma 90.00
_symmetry_space_group_name_H-M 'P -4 m 2'
_symmetry_Int_Tables_number 115
loop_
_symmetry_equiv_pos_as_xyz
'x,y,z'
'y,-x,-z'
'-x,-y,z'
'-y,x,-z'
'-x,y,z'
'-y,-x,-z'
'x,-y,z'
'y,x,-z'
loop_
_atom_site_label
_atom_site_type_symbol
_atom_site_fract_x
_atom_site_fract_y
_atom_site_fract_z
_atom_site_occupancy
Ac1 Ac 0.000 0.500 0.244 1
Al1 Al 0.000 0.000 0.500 1
Si1 Si 0.000 0.000 0.000 1
Si2 Si 0.000 0.500 0.639 1
Si3 Si 0.500 0.500 0.000 1
Pt1 Pt 0.000 0.500 0.883 1
Pt2 Pt 0.500 0.500 0.500 1
# E_form (uncorrected): -0.967 eV/atom
# D(E_F): 3.4 states/eV per cell

=====

No. 2
# Ac2AlSi3Pt4 GGA-PBE relaxed
data_Ac2AlSi3Pt4
_chemical_formula_sum 'Ac2 Al1 Si3 Pt4'
_cell_length_a 4.396
_cell_length_b 4.396
_cell_length_c 10.151
_cell_angle_alpha 90.00
_cell_angle_beta 90.00
_cell_angle_gamma 90.00
_symmetry_space_group_name_H-M 'P -4 m 2'
_symmetry_Int_Tables_number 115
loop_
_symmetry_equiv_pos_as_xyz
'x,y,z'
'y,-x,-z'
'-x,-y,z'
'-y,x,-z'
'-x,y,z'
'-y,-x,-z'
'x,-y,z'
'y,x,-z'
loop_
_atom_site_label
_atom_site_type_symbol
_atom_site_fract_x
_atom_site_fract_y
_atom_site_fract_z
_atom_site_occupancy
Ac1 Ac 0.000 0.500 0.249 1
Al1 Al 0.500 0.500 0.000 1
Si1 Si 0.000 0.000 0.000 1
Si2 Si 0.000 0.500 0.623 1
Pt1 Pt 0.000 0.000 0.500 1
Pt2 Pt 0.000 0.500 0.871 1
Pt3 Pt 0.500 0.500 0.500 1
# E_form (uncorrected): -1.075 eV/atom
# D(E_F): 4.9 states/eV per cell

=====

No. 3
# Ac3Al2Si2Pt4 GGA-PBE relaxed
data_Ac3Al2Si2Pt4
_chemical_formula_sum 'Ac3 Al2 Si2 Pt4'
_cell_length_a 4.2668
_cell_length_b 4.2668
_cell_length_c 16.4188
_cell_angle_alpha 90.00
_cell_angle_beta 90.00
_cell_angle_gamma 120.00
_symmetry_space_group_name_H-M 'P -3 m 1'
_symmetry_Int_Tables_number 164
_symmetry_space_group_name_Hall '-P 3 2"'
loop_
_atom_site_label
_atom_site_type_symbol
_atom_site_fract_x
_atom_site_fract_y
_atom_site_fract_z
_atom_site_occupancy
Ac1 Ac 0.0000 0.0000 0.0000 1
Ac2 Ac 0.0000 0.0000 0.2758 1
Al1 Al 0.3333 0.6667 0.5569 1
Si1 Si 0.3333 0.6667 0.1353 1
Pt1 Pt 0.3333 0.6667 0.4033 1
Pt2 Pt 0.3333 0.6667 0.8567 1
# E_form (uncorrected): -1.014 eV/atom
# D(E_F): 6.2 states/eV per cell

=====

No. 4
# Ac2AlSi3Pt12 GGA-PBE relaxed
data_Ac2AlSi3Pt12
_chemical_formula_sum 'Ac6 Al3 Si9 Pt36'
_cell_length_a 8.2451
_cell_length_b 8.2451
_cell_length_c 18.7488
_cell_angle_alpha 90.00
_cell_angle_beta 90.00
_cell_angle_gamma 120.00
_symmetry_space_group_name_H-M 'R -3 m'
_symmetry_Int_Tables_number 166
_symmetry_space_group_name_Hall '-R 3 2"'
loop_
_atom_site_label
_atom_site_type_symbol
_atom_site_fract_x
_atom_site_fract_y
_atom_site_fract_z
_atom_site_occupancy
Ac1 Ac 0.0000 0.0000 0.1166 1
Al1 Al 0.0000 0.0000 0.5000 1
Si1 Si 0.0000 0.5000 0.0000 1
Pt1 Pt 0.0110 0.5055 0.1241 1
Pt2 Pt 0.0326 0.5163 0.3670 1
# E_form (uncorrected): -0.623 eV/atom
# D(E_F): 12.3 states/eV per cell

=====

No. 5
# AcAlSiPt2 GGA-PBE relaxed
data_AcAlSiPt2
_chemical_formula_sum 'Ac2 Al2 Si2 Pt4'
_cell_length_a 4.320
_cell_length_b 4.320
_cell_length_c 10.844
_cell_angle_alpha 90.00
_cell_angle_beta 90.00
_cell_angle_gamma 90.00
_symmetry_space_group_name_H-M 'I -4 m 2'
_symmetry_Int_Tables_number 119
_symmetry_space_group_name_Hall 'I -4 -2'
loop_
_atom_site_label
_atom_site_type_symbol
_atom_site_fract_x
_atom_site_fract_y
_atom_site_fract_z
_atom_site_occupancy
Ac1 Ac 0.000 0.000 0.000 1
Al1 Al 0.000 0.500 0.250 1
Si1 Si 0.000 0.500 0.750 1
Pt1 Pt 0.000 0.000 0.368 1
# E_form (uncorrected): -1.067 eV/atom
# D(E_F): 4.7 states/eV per cell

=====

No. 6
# AcAlSi6Pt2 GGA-PBE relaxed
data_AcAlSi6Pt2
_chemical_formula_sum 'Ac3 Al3 Si18 Pt6'
_cell_length_a 6.3114
_cell_length_b 6.3114
_cell_length_c 21.3509
_cell_angle_alpha 90.00
_cell_angle_beta 90.00
_cell_angle_gamma 120.00
_symmetry_space_group_name_H-M 'R -3 m'
_symmetry_Int_Tables_number 166
_symmetry_space_group_name_Hall '-R 3 2"'
loop_
_atom_site_label
_atom_site_type_symbol
_atom_site_fract_x
_atom_site_fract_y
_atom_site_fract_z
_atom_site_occupancy
Ac1 Ac 0.0000 0.0000 0.0000 1
Al1 Al 0.0000 0.0000 0.5000 1
Si1 Si 0.0645 0.5323 0.0707 1
Pt1 Pt 0.0000 0.0000 0.3073 1
# E_form (uncorrected): -0.171 eV/atom
# D(E_F): 18.6 states/eV per cell

=====

No. 7
# Ac3AlSi2Pt9 GGA-PBE relaxed
data_Ac3AlSi2Pt9
_chemical_formula_sum 'Ac3 Al1 Si2 Pt9'
_cell_length_a 6.4589
_cell_length_b 6.4589
_cell_length_c 8.9823
_cell_angle_alpha 90.00
_cell_angle_beta 90.00
_cell_angle_gamma 120.00
_symmetry_space_group_name_H-M 'P -3 m 1'
_symmetry_Int_Tables_number 164
_symmetry_space_group_name_Hall '-P 3 2"'
loop_
_atom_site_label
_atom_site_type_symbol
_atom_site_fract_x
_atom_site_fract_y
_atom_site_fract_z
_atom_site_occupancy
Ac1 Ac 0.0000 0.0000 0.0000 1
Ac2 Ac 0.3333 0.6667 0.6608 1
Al1 Al 0.0000 0.0000 0.5000 1
Si1 Si 0.3333 0.6667 0.1817 1
Pt1 Pt 0.0000 0.5000 0.0000 1
Pt2 Pt 0.1454 0.2908 0.2898 1
# E_form (uncorrected): -0.868 eV/atom
# D(E_F): 3.3 states/eV per cell

=====

No. 8
# Ac2SmAl4Pt3 GGA-PBE relaxed
data_Ac2SmAl4Pt3
_chemical_formula_sum 'Ac2 Sm1 Al4 Pt3'
_cell_length_a 4.421
_cell_length_b 4.421
_cell_length_c 11.631
_cell_angle_alpha 90.00
_cell_angle_beta 90.00
_cell_angle_gamma 90.00
_symmetry_space_group_name_H-M 'P -4 m 2'
_symmetry_Int_Tables_number 115
loop_
_symmetry_equiv_pos_as_xyz
'x,y,z'
'y,-x,-z'
'-x,-y,z'
'-y,x,-z'
'-x,y,z'
'-y,-x,-z'
'x,-y,z'
'y,x,-z'
loop_
_atom_site_label
_atom_site_type_symbol
_atom_site_fract_x
_atom_site_fract_y
_atom_site_fract_z
_atom_site_occupancy
Ac1 Ac 0.000 0.500 0.229 1
Sm1 Sm 0.000 0.000 0.500 1
Al1 Al 0.000 0.000 0.000 1
Al2 Al 0.000 0.500 0.668 1
Al3 Al 0.500 0.500 0.000 1
Pt1 Pt 0.000 0.500 0.884 1
Pt2 Pt 0.500 0.500 0.500 1
# E_form: -0.85 eV/atom
# D(E_F): 9.9 states/eV per cell